# NdSm7Ho2, optimized geometry, DFT GGA-PBE
data_NdSm7Ho2
_chemical_formula_sum 'Nd1 Sm7 Ho2'
_cell_length_a 6.252
_cell_length_b 6.255
_cell_length_c 9.559
_cell_angle_alpha 70.93
_cell_angle_beta 70.95
_cell_angle_gamma 80.46
_space_group_name_H-M_alt 'P 1'
_space_group_IT_number 1
_space_group_name_Hall 'P 1'
loop_
_atom_site_label
_atom_site_fract_x
_atom_site_fract_y
_atom_site_fract_z
Nd1 0.000 0.000 0.000
Sm1 0.000 0.398 0.201
Sm2 0.000 0.602 0.799
Sm3 0.002 0.200 0.599
Sm4 0.500 0.301 0.899
Sm5 0.500 0.500 0.500
Sm6 0.500 0.699 0.101
Sm7 0.998 0.800 0.401
Ho1 0.499 0.099 0.301
Ho2 0.501 0.901 0.699
# - Space group: P-1 (2)
# - Size of the total moment: 0.0 Bohr magnetons per cell
# - Total energy: -4.68 eV per atom
# - Energy of formation from the pure elements: 17 meV per atom
# - E above lowest polymorph: 0 meV/atom